Computed, not measured: a relaxed Mn2CuBiO8 crystal at the PBE with a Hubbard U level of DFT.

uncorrected energy	-0.43372	Ry per atom

```
data_Mn2CuBiO8
_cell_length_a 7.029
_cell_length_b 7.029
_cell_length_c 6.382
_cell_angle_alpha 90.00
_cell_angle_beta 90.00
_cell_angle_gamma 90.00
_space_group_name_H-M_alt 'I -4 m 2'
_space_group_IT_number 119
_space_group_name_Hall 'I -4 -2'
loop_
_atom_site_label
_atom_site_fract_x
_atom_site_fract_y
_atom_site_fract_z
_atom_site_occupancy
Mn1 0.000 0.000 0.000 1
Mn2 0.000 0.500 0.250 1
Cu1 0.000 0.500 0.750 1
Bi1 0.000 0.000 0.500 1
O1 0.000 0.190 0.829 1
O2 0.000 0.316 0.416 1
```